[1]
The following is a GGA-PBE calculation of Tb6ErZn after structural relaxation, from Alexandria.

Values from the calculation:
**DOS(E_F)**: 1.340 states/eV/atom
**Calculated volume**: 30.24 Å³ per atom
**Total magnetization**: 0.000 μB/atom
**Formation energy**: 32.4 kJ/mol of formula units

The structure in CIF format:
```
data_Tb6ErZn
_chemical_formula_sum 'Tb18 Er3 Zn3'
_cell_length_a 9.2585
_cell_length_b 9.2585
_cell_length_c 9.7785
_cell_angle_alpha 90.00
_cell_angle_beta 90.00
_cell_angle_gamma 120.00
_symmetry_space_group_name_H-M 'R -3'
_symmetry_Int_Tables_number 148
_symmetry_space_group_name_Hall '-R 3'
loop_
_atom_site_label
_atom_site_type_symbol
_atom_site_fract_x
_atom_site_fract_y
_atom_site_fract_z
_atom_site_occupancy
Tb1 Tb 0.0308 0.7810 0.2062 1
Er1 Er 0.0000 0.0000 0.5000 1
Zn1 Zn 0.0000 0.0000 0.0000 1
```


[2]
The following is a GGA-PBE calculation of Tb2ErZn3 after structural relaxation, from Alexandria.

Values from the calculation:
**DOS(E_F)**: 1.166 states/eV/atom
**Calculated volume**: 22.73 Å³ per atom
**Total magnetization**: 0.000 μB/atom
**Formation energy**: -196.4 kJ/mol of formula units

The structure in CIF format:
```
data_Tb2ErZn3
_chemical_formula_sum 'Tb2 Er1 Zn3'
_cell_length_a 3.572
_cell_length_b 3.572
_cell_length_c 10.688
_cell_angle_alpha 90.00
_cell_angle_beta 90.00
_cell_angle_gamma 90.00
_symmetry_space_group_name_H-M 'P 4/m m m'
_symmetry_Int_Tables_number 123
_symmetry_space_group_name_Hall '-P 4 2'
loop_
_atom_site_label
_atom_site_type_symbol
_atom_site_fract_x
_atom_site_fract_y
_atom_site_fract_z
_atom_site_occupancy
Tb1 Tb 0.000 0.000 0.168 1
Er1 Er 0.000 0.000 0.500 1
Zn1 Zn 0.500 0.500 0.000 1
Zn2 Zn 0.500 0.500 0.338 1
```


[3]
The following is a GGA-PBE calculation of Tb5Er4Zn after structural relaxation, from Alexandria.

Values from the calculation:
**DOS(E_F)**: 1.275 states/eV/atom
**Calculated volume**: 29.62 Å³ per atom
**Total magnetization**: 0.000 μB/atom
**Formation energy**: -49.3 kJ/mol of formula units

The structure in CIF format:
```
data_Tb5Er4Zn
_chemical_formula_sum 'Tb5 Er4 Zn1'
_cell_length_a 3.542
_cell_length_b 3.542
_cell_length_c 23.601
_cell_angle_alpha 90.00
_cell_angle_beta 90.00
_cell_angle_gamma 90.00
_symmetry_space_group_name_H-M 'P 4/m m m'
_symmetry_Int_Tables_number 123
_symmetry_space_group_name_Hall '-P 4 2'
loop_
_atom_site_label
_atom_site_type_symbol
_atom_site_fract_x
_atom_site_fract_y
_atom_site_fract_z
_atom_site_occupancy
Tb1 Tb 0.000 0.000 0.000 1
Tb2 Tb 0.000 0.000 0.212 1
Tb3 Tb 0.000 0.000 0.424 1
Er1 Er 0.500 0.500 0.106 1
Er2 Er 0.500 0.500 0.317 1
Zn1 Zn 0.500 0.500 0.500 1
```


[4]
The following is a GGA-PBE calculation of Tb6Er2Zn after structural relaxation, from Alexandria.

Values from the calculation:
**DOS(E_F)**: 1.529 states/eV/atom
**Calculated volume**: 29.83 Å³ per atom
**Total magnetization**: 0.000 μB/atom
**Formation energy**: 14.1 kJ/mol of formula units

The structure in CIF format:
```
data_Tb6Er2Zn
_chemical_formula_sum 'Tb12 Er4 Zn2'
_cell_length_a 10.013
_cell_length_b 10.055
_cell_length_c 5.333
_cell_angle_alpha 90.00
_cell_angle_beta 90.00
_cell_angle_gamma 90.00
_symmetry_space_group_name_H-M 'P n n m'
_symmetry_Int_Tables_number 58
loop_
_symmetry_equiv_pos_as_xyz
'x,y,z'
'-x,-y,-z'
'-x,-y,z'
'x,y,-z'
'x+1/2,-y+1/2,-z+1/2'
'-x+1/2,y+1/2,z+1/2'
'-x+1/2,y+1/2,-z+1/2'
'x+1/2,-y+1/2,z+1/2'
loop_
_atom_site_label
_atom_site_type_symbol
_atom_site_fract_x
_atom_site_fract_y
_atom_site_fract_z
_atom_site_occupancy
Tb1 Tb 0.039 0.186 0.000 1
Tb2 Tb 0.124 0.620 0.500 1
Tb3 Tb 0.186 0.955 0.500 1
Er1 Er 0.213 0.281 0.500 1
Zn1 Zn 0.000 0.500 0.000 1
```


[5]
The following is a GGA-PBE calculation of Tb2Er3Zn3 after structural relaxation, from Alexandria.

Values from the calculation:
**DOS(E_F)**: 1.022 states/eV/atom
**Calculated volume**: 24.54 Å³ per atom
**Total magnetization**: 0.000 μB/atom
**Formation energy**: -191.2 kJ/mol of formula units

The structure in CIF format:
```
data_Tb2Er3Zn3
_chemical_formula_sum 'Tb4 Er6 Zn6'
_cell_length_a 3.590
_cell_length_b 5.120
_cell_length_c 21.365
_cell_angle_alpha 90.00
_cell_angle_beta 90.00
_cell_angle_gamma 90.00
_symmetry_space_group_name_H-M 'I m m m'
_symmetry_Int_Tables_number 71
_symmetry_space_group_name_Hall '-I 2 2'
loop_
_atom_site_label
_atom_site_type_symbol
_atom_site_fract_x
_atom_site_fract_y
_atom_site_fract_z
_atom_site_occupancy
Tb1 Tb 0.000 0.000 0.228 1
Er1 Er 0.000 0.000 0.000 1
Er2 Er 0.000 0.500 0.117 1
Zn1 Zn 0.000 0.000 0.500 1
Zn2 Zn 0.000 0.500 0.386 1
```


[6]
The following is a GGA-PBE calculation of Tb6ErZn2 after structural relaxation, from Alexandria.

Values from the calculation:
**Energy above the lowest structure with this stoichiometry**: 3.64 eV per formula unit
**DOS(E_F)**: 1.600 states/eV/atom
**Calculated volume**: 32.22 Å³ per atom
**Total magnetization**: 0.000 μB/atom
**Formation energy**: 226.3 kJ/mol of formula units

The structure in CIF format:
```
data_Tb6ErZn2
_chemical_formula_sum 'Tb12 Er2 Zn4'
_cell_length_a 4.817
_cell_length_b 4.817
_cell_length_c 24.989
_cell_angle_alpha 90.00
_cell_angle_beta 90.00
_cell_angle_gamma 90.00
_symmetry_space_group_name_H-M 'I 4/m m m'
_symmetry_Int_Tables_number 139
_symmetry_space_group_name_Hall '-I 4 2'
loop_
_atom_site_label
_atom_site_type_symbol
_atom_site_fract_x
_atom_site_fract_y
_atom_site_fract_z
_atom_site_occupancy
Tb1 Tb 0.000 0.500 0.106 1
Tb2 Tb 0.000 0.500 0.250 1
Er1 Er 0.000 0.000 0.000 1
Zn1 Zn 0.000 0.000 0.323 1
```